Below is a crystal of ReP2WCl relaxed with PBEsol, with properties calculated at the SCAN level.

Computed properties:
The calculation puts the total energy at -32.435 eV/atom. The calculation puts the energy relative to the elements, uncorrected at 142.5 kJ/mol of atoms.

a b c (Å): 4.5352 4.5352 4.7866
angles (deg): 90.00 90.00 90.00
Closest atoms and distances in Å follow each position.
Atoms (fractional coordinates):
Re 0.0000 0.0000 0.0000  4 P 2.27, 2 Cl 2.39
P 0.0000 0.5000 0.0000  2 Re 2.27
P 0.5000 0.0000 0.0000  2 Re 2.27
W 0.5000 0.5000 0.5000  4 Cl 3.21, 8 P 3.30
Cl 0.0000 0.0000 0.5000  2 Re 2.39


Below is a crystal of PRh2Cl relaxed with PBEsol, with properties calculated at the SCAN level.

Computed properties:
The calculation puts the total energy at -21.542 eV/atom. The calculation puts the energy relative to the elements, uncorrected at -6.0 kJ/mol of atoms.

a b c (Å): 3.2738 3.2738 5.7421
angles (deg): 90.00 90.00 89.99
Closest atoms and distances in Å follow each position.
Atoms (fractional coordinates):
Cl 0.0000 0.0000 0.4638  5 Rh 2.65-2.71
P 0.5000 0.5000 0.8618  5 Rh 2.16-2.35
Rh 0.0000 0.0000 0.9359  4 P 2.35
Rh 0.5000 0.5000 0.2384  1 P 2.16


Below is a crystal of PRh2Cl relaxed with PBEsol, with properties calculated at the SCAN level.

Computed properties:
The calculation puts the total energy at -21.129 eV/atom. The calculation puts the energy relative to the elements, uncorrected at 33.8 kJ/mol of atoms.

a b c (Å): 3.4396 3.4396 5.3603
angles (deg): 108.71 108.71 90.00
Closest atoms and distances in Å follow each position.
Atoms (fractional coordinates):
Cl 0.5000 0.5000 0.0000  4 Rh 2.43
P 0.2500 0.7500 0.5000  4 Rh 2.43
Rh 0.0000 0.0000 0.0000  4 Cl 2.43
Rh 0.7500 0.2500 0.5000  4 P 2.43


Below is a crystal of PRh2Cl relaxed with PBEsol, with properties calculated at the SCAN level.

Computed properties:
The calculation puts the total energy at -21.173 eV/atom. The calculation puts the energy relative to the elements, uncorrected at 29.6 kJ/mol of atoms.

a b c (Å): 2.8317 3.8689 5.3479
angles (deg): 90.00 90.00 90.00
Closest atoms and distances in Å follow each position.
Atoms (fractional coordinates):
Cl 0.5000 0.5000 0.0000  4 Rh 2.40
P 0.0000 0.5000 0.5000  4 Rh 2.40
Rh 0.0000 0.0000 0.0000  4 Cl 2.40
Rh 0.5000 0.0000 0.5000  4 P 2.40


Below is a crystal of PRh2Cl relaxed with PBEsol, with properties calculated at the SCAN level.

Computed properties:
The calculation puts the total energy at -21.183 eV/atom. The calculation puts the energy relative to the elements, uncorrected at 28.7 kJ/mol of atoms.

a b c (Å): 2.9381 4.3004 4.3004
angles (deg): 90.00 90.00 90.00
Closest atoms and distances in Å follow each position.
Atoms (fractional coordinates):
Cl 0.5000 0.5000 0.5000  8 Rh 2.60
P 0.5000 0.0000 0.0000  8 Rh 2.60
Rh 0.0000 0.0000 0.5000  4 Cl 2.60, 4 P 2.60
Rh 0.0000 0.5000 0.0000  4 Cl 2.60, 4 P 2.60


Below is a crystal of PRh2Cl relaxed with PBEsol, with properties calculated at the SCAN level.

Computed properties:
The calculation puts the total energy at -21.666 eV/atom. The calculation puts the energy relative to the elements, uncorrected at -17.9 kJ/mol of atoms.

a b c (Å): 3.4216 4.0319 5.2348
angles (deg): 90.00 94.22 90.00
Closest atoms and distances in Å follow each position.
Atoms (fractional coordinates):
Cl 0.5729 0.0000 0.4264  3 Rh 2.39-2.47
P 0.1213 0.5000 0.8684  4 Rh 2.21-2.30
Rh 0.1517 0.0000 0.0418  2 P 2.21, 1 Cl 2.39
Rh 0.6540 0.5000 0.1634  2 P 2.30, 2 Cl 2.47


Question: energy relative to the elements, uncorrected of number 6 (PRh2Cl)?
Answer: -17.9 kJ/mol of atoms